# 1
Ac4Ir3Pd: optimized geometry, PBE-GGA.

Its formation energy is -5.3 eV/f.u. The calculation puts the raw total energy at -6.68 eV per atom.

```
data_Ac4Ir3Pd
_cell_length_a 4.152
_cell_length_b 4.492
_cell_length_c 11.512
_cell_angle_alpha 90.00
_cell_angle_beta 90.00
_cell_angle_gamma 90.00
_space_group_name_H-M_alt 'P m m 2'
_space_group_IT_number 25
loop_
_space_group_symop_operation_xyz
'x,y,z'
'-x,-y,z'
'-x,y,z'
'x,-y,z'
loop_
_atom_site_label
_atom_site_type_symbol
_atom_site_fract_x
_atom_site_fract_y
_atom_site_fract_z
Ac1 Ac 0.000 0.000 0.000
Ac2 Ac 0.000 0.500 0.268
Ac3 Ac 0.500 0.000 0.487
Ac4 Ac 0.500 0.500 0.768
Ir1 Ir 0.000 0.500 0.547
Ir2 Ir 0.500 0.000 0.216
Ir3 Ir 0.500 0.500 0.041
Pd1 Pd 0.000 0.000 0.712
```

---

# 2
Ac9Ir4Pd2: optimized geometry, PBE-GGA.

Its formation energy is -9.5 eV/f.u. The calculation puts the raw total energy at -6.15 eV per atom.

```
data_Ac9Ir4Pd2
_cell_length_a 7.5495
_cell_length_b 7.5495
_cell_length_c 21.0500
_cell_angle_alpha 90.00
_cell_angle_beta 90.00
_cell_angle_gamma 120.00
_space_group_name_H-M_alt 'P -3 c 1'
_space_group_IT_number 165
_space_group_name_Hall '-P 3 2"c'
loop_
_atom_site_label
_atom_site_type_symbol
_atom_site_fract_x
_atom_site_fract_y
_atom_site_fract_z
Ac1 Ac 0.0000 0.3354 0.2500
Ac2 Ac 0.0131 0.3539 0.9182
Ir1 Ir 0.3333 0.6667 0.0060
Ir2 Ir 0.3333 0.6667 0.3275
Pd1 Pd 0.0000 0.0000 0.1635
```

---

# 3
Ac4IrPd2: optimized geometry, PBE-GGA.

Its formation energy is -4.4 eV/f.u. The calculation puts the raw total energy at -5.73 eV per atom. The energy above the most stable polymorph in this dataset comes out at 26 meV/atom.

```
data_Ac4IrPd2
_cell_length_a 9.533
_cell_length_b 9.591
_cell_length_c 9.936
_cell_angle_alpha 90.00
_cell_angle_beta 90.00
_cell_angle_gamma 90.00
_space_group_name_H-M_alt 'I m m a'
_space_group_IT_number 74
_space_group_name_Hall '-I 2b 2'
loop_
_atom_site_label
_atom_site_type_symbol
_atom_site_fract_x
_atom_site_fract_y
_atom_site_fract_z
Ac1 Ac 0.000 0.049 0.196
Ac2 Ac 0.201 0.250 0.555
Ir1 Ir 0.000 0.250 0.871
Pd1 Pd 0.000 0.000 0.500
Pd2 Pd 0.250 0.250 0.250
```

---

# 4
Ac4Ir2Pd: optimized geometry, PBE-GGA.

Its formation energy is -4.6 eV/f.u. The calculation puts the raw total energy at -6.28 eV per atom. The energy above the most stable polymorph in this dataset comes out at 0 meV/atom.

```
data_Ac4Ir2Pd
_cell_length_a 15.194
_cell_length_b 4.521
_cell_length_c 7.715
_cell_angle_alpha 90.00
_cell_angle_beta 119.98
_cell_angle_gamma 90.00
_space_group_name_H-M_alt 'C 1 2/m 1'
_space_group_IT_number 12
loop_
_space_group_symop_operation_xyz
'x,y,z'
'-x,-y,-z'
'-x,y,-z'
'x,-y,z'
'x+1/2,y+1/2,z'
'-x+1/2,-y+1/2,-z'
'-x+1/2,y+1/2,-z'
'x+1/2,-y+1/2,z'
loop_
_atom_site_label
_atom_site_type_symbol
_atom_site_fract_x
_atom_site_fract_y
_atom_site_fract_z
Ac1 Ac 0.128 0.000 0.310
Ac2 Ac 0.140 0.500 0.796
Ir1 Ir 0.235 0.500 0.235
Pd1 Pd 0.000 0.500 0.000
```

---

# 5
Ac4IrPd2: optimized geometry, PBE-GGA.

Its formation energy is -3.2 eV/f.u. The calculation puts the raw total energy at -5.55 eV per atom. The energy above the most stable polymorph in this dataset comes out at 210 meV/atom.

```
data_Ac4IrPd2
_cell_length_a 5.825
_cell_length_b 5.825
_cell_length_c 14.670
_cell_angle_alpha 90.00
_cell_angle_beta 90.00
_cell_angle_gamma 90.00
_space_group_name_H-M_alt 'I 4/m m m'
_space_group_IT_number 139
_space_group_name_Hall '-I 4 2'
loop_
_atom_site_label
_atom_site_type_symbol
_atom_site_fract_x
_atom_site_fract_y
_atom_site_fract_z
Ac1 Ac 0.000 0.000 0.202
Ac2 Ac 0.000 0.500 0.000
Ir1 Ir 0.000 0.000 0.000
Pd1 Pd 0.000 0.000 0.399
```

---

# 6
Ac6Ir2Pd: optimized geometry, PBE-GGA.

Its formation energy is -5.1 eV/f.u. The calculation puts the raw total energy at -5.86 eV per atom. The energy above the most stable polymorph in this dataset comes out at 0 meV/atom.

```
data_Ac6Ir2Pd
_cell_length_a 7.6437
_cell_length_b 7.6437
_cell_length_c 7.0410
_cell_angle_alpha 90.00
_cell_angle_beta 90.00
_cell_angle_gamma 120.00
_space_group_name_H-M_alt 'P -3 1 m'
_space_group_IT_number 162
_space_group_name_Hall '-P 3 2'
loop_
_atom_site_label
_atom_site_type_symbol
_atom_site_fract_x
_atom_site_fract_y
_atom_site_fract_z
Ac1 Ac 0.0000 0.3421 0.2737
Ir1 Ir 0.3333 0.6667 0.5000
Pd1 Pd 0.0000 0.0000 0.5000
```

---

# 7
Ac3IrPd2: optimized geometry, PBE-GGA.

Its formation energy is -4.4 eV/f.u. The calculation puts the raw total energy at -5.99 eV per atom. The energy above the most stable polymorph in this dataset comes out at 9 meV/atom.

```
data_Ac3IrPd2
_cell_length_a 6.185
_cell_length_b 13.057
_cell_length_c 8.809
_cell_angle_alpha 90.00
_cell_angle_beta 90.01
_cell_angle_gamma 90.00
_space_group_name_H-M_alt 'P 1 21/c 1'
_space_group_IT_number 14
loop_
_space_group_symop_operation_xyz
'x,y,z'
'-x,-y,-z'
'-x,y+1/2,-z+1/2'
'x,-y+1/2,z+1/2'
loop_
_atom_site_label
_atom_site_type_symbol
_atom_site_fract_x
_atom_site_fract_y
_atom_site_fract_z
Ac1 Ac 0.249 0.249 0.375
Ac2 Ac 0.250 0.577 0.861
Ac3 Ac 0.250 0.579 0.387
Ir1 Ir 0.250 0.088 0.126
Pd1 Pd 0.250 0.082 0.625
Pd2 Pd 0.251 0.743 0.124
```

---

# 8
Ac6Ir2Pd: optimized geometry, PBE-GGA.

Its formation energy is -4.3 eV/f.u. The calculation puts the raw total energy at -5.76 eV per atom. The energy above the most stable polymorph in this dataset comes out at 99 meV/atom.

```
data_Ac6Ir2Pd
_cell_length_a 14.104
_cell_length_b 5.834
_cell_length_c 9.616
_cell_angle_alpha 90.00
_cell_angle_beta 117.11
_cell_angle_gamma 90.00
_space_group_name_H-M_alt 'C 1 2/m 1'
_space_group_IT_number 12
loop_
_space_group_symop_operation_xyz
'x,y,z'
'-x,-y,-z'
'-x,y,-z'
'x,-y,z'
'x+1/2,y+1/2,z'
'-x+1/2,-y+1/2,-z'
'-x+1/2,y+1/2,-z'
'x+1/2,-y+1/2,z'
loop_
_atom_site_label
_atom_site_type_symbol
_atom_site_fract_x
_atom_site_fract_y
_atom_site_fract_z
Ac1 Ac 0.019 0.000 0.215
Ac2 Ac 0.147 0.500 0.579
Ac3 Ac 0.193 0.500 0.088
Ir1 Ir 0.179 0.000 0.097
Pd1 Pd 0.000 0.000 0.500
```

---

# 9
AcIrPd2: optimized geometry, PBE-GGA.

Its formation energy is -1.8 eV/f.u. The calculation puts the raw total energy at -6.29 eV per atom.

```
data_AcIrPd2
_cell_length_a 4.5391
_cell_length_b 4.5391
_cell_length_c 15.0035
_cell_angle_alpha 90.00
_cell_angle_beta 90.00
_cell_angle_gamma 120.00
_space_group_name_H-M_alt 'R -3 m'
_space_group_IT_number 166
_space_group_name_Hall '-R 3 2"'
loop_
_atom_site_label
_atom_site_type_symbol
_atom_site_fract_x
_atom_site_fract_y
_atom_site_fract_z
Ac1 Ac 0.0000 0.0000 0.0000
Ir1 Ir 0.0000 0.0000 0.5000
Pd1 Pd 0.0000 0.0000 0.1996
```

---

# 10
Ac7IrPd4: optimized geometry, PBE-GGA.

Its formation energy is -8.0 eV/f.u. The calculation puts the raw total energy at -5.53 eV per atom.

```
data_Ac7IrPd4
_cell_length_a 14.471
_cell_length_b 4.331
_cell_length_c 13.289
_cell_angle_alpha 90.00
_cell_angle_beta 105.34
_cell_angle_gamma 90.00
_space_group_name_H-M_alt 'C 1 m 1'
_space_group_IT_number 8
loop_
_space_group_symop_operation_xyz
'x,y,z'
'x,-y,z'
'x+1/2,y+1/2,z'
'x+1/2,-y+1/2,z'
loop_
_atom_site_label
_atom_site_type_symbol
_atom_site_fract_x
_atom_site_fract_y
_atom_site_fract_z
Ac1 Ac 0.000 0.000 0.000
Ac2 Ac 0.026 0.500 0.273
Ac3 Ac 0.099 0.500 0.584
Ac4 Ac 0.217 0.000 0.852
Ac5 Ac 0.254 0.500 0.140
Ac6 Ac 0.292 0.000 0.416
Ac7 Ac 0.409 0.500 0.687
Ir1 Ir 0.143 0.000 0.209
Pd1 Pd 0.059 0.500 0.815
Pd2 Pd 0.254 0.000 0.635
Pd3 Pd 0.373 0.000 0.061
Pd4 Pd 0.452 0.500 0.458
```

---

# 11
Ac3IrPd2: optimized geometry, PBE-GGA.

Its formation energy is -4.4 eV/f.u. The calculation puts the raw total energy at -6.00 eV per atom. The energy above the most stable polymorph in this dataset comes out at 0 meV/atom.

```
data_Ac3IrPd2
_cell_length_a 13.883
_cell_length_b 6.177
_cell_length_c 8.764
_cell_angle_alpha 90.00
_cell_angle_beta 108.37
_cell_angle_gamma 90.00
_space_group_name_H-M_alt 'C 1 2/c 1'
_space_group_IT_number 15
loop_
_space_group_symop_operation_xyz
'x,y,z'
'-x,-y,-z'
'-x,y,-z+1/2'
'x,-y,z+1/2'
'x+1/2,y+1/2,z'
'-x+1/2,-y+1/2,-z'
'-x+1/2,y+1/2,-z+1/2'
'x+1/2,-y+1/2,z+1/2'
loop_
_atom_site_label
_atom_site_type_symbol
_atom_site_fract_x
_atom_site_fract_y
_atom_site_fract_z
Ac1 Ac 0.000 0.000 0.250
Ac2 Ac 0.157 0.500 0.078
Ir1 Ir 0.000 0.500 0.250
Pd1 Pd 0.170 0.000 0.085
```

---

# 12
Ac6Ir4Pd: optimized geometry, PBE-GGA.

Its formation energy is -6.3 eV/f.u. The calculation puts the raw total energy at -6.51 eV per atom.

```
data_Ac6Ir4Pd
_cell_length_a 8.591
_cell_length_b 8.564
_cell_length_c 9.612
_cell_angle_alpha 90.00
_cell_angle_beta 116.43
_cell_angle_gamma 90.00
_space_group_name_H-M_alt 'C 1 m 1'
_space_group_IT_number 8
loop_
_space_group_symop_operation_xyz
'x,y,z'
'x,-y,z'
'x+1/2,y+1/2,z'
'x+1/2,-y+1/2,z'
loop_
_atom_site_label
_atom_site_type_symbol
_atom_site_fract_x
_atom_site_fract_y
_atom_site_fract_z
Ac1 Ac 0.000 0.000 0.000
Ac2 Ac 0.020 0.500 0.999
Ac3 Ac 0.118 0.240 0.715
Ac4 Ac 0.190 0.250 0.357
Ir1 Ir 0.301 0.236 0.081
Ir2 Ir 0.315 0.500 0.633
Ir3 Ir 0.340 0.000 0.633
Pd1 Pd 0.439 0.000 0.357
```

---

| no. | total moment (μB per cell) |
| --- | --- |
| 1 | 0.0 |
| 2 | 0.0 |
| 3 | 0.0 |
| 4 | 0.0 |
| 5 | 0.0 |
| 6 | 0.0 |
| 7 | 0.0 |
| 8 | 0.0 |
| 9 | 0.0 |
| 10 | 0.0 |
| 11 | 0.0 |
| 12 | 0.0 |